Computed, not measured: Sr2TlS after structural relaxation at the PBE-GGA level of DFT.

For the final energy, the calculation gives -50.0 eV/cell. Its crystal system is cubic. The calculation puts the uncorrected formation energy at -659 meV/atom. The value obtained for the volume is 30.7 Å³/atom. The value obtained for the energy relative to the lowest polymorph listed for this composition is 1.04 eV/f.u.

The structure in CIF format:
```
data_Sr2TlS
_chemical_formula_sum 'Sr8 Tl4 S4'
_cell_length_a 7.8902
_cell_length_b 7.8902
_cell_length_c 7.8902
_cell_angle_alpha 90.00
_cell_angle_beta 90.00
_cell_angle_gamma 90.00
_space_group_name_H-M_alt 'F m -3 m'
_space_group_IT_number 225
_space_group_name_Hall '-F 4 2 3'
loop_
_atom_site_label
_atom_site_type_symbol
_atom_site_fract_x
_atom_site_fract_y
_atom_site_fract_z
Sr1 Sr 0.2500 0.2500 0.2500
Tl1 Tl 0.0000 0.0000 0.0000
S1 S 0.0000 0.0000 0.5000
```